First-principles (PBE+U) data for an optimized crystal structure of KTiCr2O8, as listed in the Alexandria database.

For the density of states at the Fermi level, the calculation gives 0.21 states/eV/atom. As for the total DFT energy (no corrections): -0.2603 hartree per atom. For the total magnetic moment, the calculation gives 2.0 μB/cell. The calculated volume comes out at 16.42 A^3/atom. The crystal system is monoclinic.

It has space group C2/m (No. 12), with a = 9.095 Å, b = 5.564 Å, c = 7.798 Å, α = 90.00°, β = 93.27° and γ = 90.00°. Symmetry generates all atoms from K at (0.000, 0.000, 0.000), Ti at (0.000, 0.000, 0.500), Cr at (0.140, 0.500, 0.286), O at (0.041, 0.246, 0.326), O at (0.184, 0.500, 0.087) and O at (0.206, 0.000, 0.581).